The following is a GGA-PBE calculation of a relaxed PIO2F crystal, from Alexandria via LeMat-Bulk.

Cell and atoms, written as POSCAR:
```
PIO2F
1.0
3.895 0.000 0.000
0.000 3.895 0.000
0.000 0.000 5.708
P I O F
1 1 2 1
Direct
0.000 0.000 0.000
0.000 0.000 0.500
0.000 0.500 0.500
0.500 0.000 0.500
0.500 0.500 0.000
```

## Properties
Uncorrected formation energy ... 0.248 eV/atom
M_tot ... 0.000 μB per atom
Density of states at the Fermi level ... 3.012 states/eV/f.u.
SG ... P4/mmm
Crystal system ... tetragonal